[1]
First-principles (GGA-PBE) data for TmThPb2 after structural relaxation, as listed in Alexandria.

abc: 3.5846 3.5846 8.9411
angles: 90.00 90.00 90.00
Last column: nearest neighbours and their distance in Å.
Space group P4/mmm (No. 123)
Symmetry-distinct sites (fractional):
Tm 0.0000 0.0000 0.0000 x1  8 Pb 3.31, 4 Tm 3.58
Th 0.0000 0.0000 0.5000 x1  8 Pb 3.45, 4 Th 3.58
Pb 0.5000 0.5000 0.2384 x2  4 Tm 3.31, 4 Th 3.45, 4 Pb 3.58

mass density = 11.78 g cm⁻³
DFT formation energy = -319 meV per atom
distance to the lowest polymorph of the same formula = 0 meV/atom


[2]
First-principles (GGA-PBE) data for ZrTe2Rh after structural relaxation, as listed in Alexandria.

abc: 10.4146 3.6647 4.7315
angles: 90.00 100.68 90.00
Last column: nearest neighbours and their distance in Å.
Space group Cm (No. 8)
Symmetry-distinct sites (fractional):
Zr 0.0000 0.0000 0.0000 x2  7 Te 2.89-3.07, 2 Rh 3.20
Te 0.0173 0.5000 0.4885 x2  1 Rh 2.66, 2 Zr 2.93
Te 0.2640 0.0000 0.8906 x2  2 Rh 2.68, 1 Zr 2.89
Rh 0.2403 0.5000 0.2920 x2  3 Te 2.66-2.68

ΔE_f (raw) = -42.0 kJ per mole of atoms
mass density = 8.41 g cm⁻³
distance to the lowest polymorph of the same formula = 288 meV/atom